Entry 1:
Computed, not measured: a relaxed TbSm15Dy4 crystal at the GGA-PBE level of DFT.

Computed properties:
formation energy = 0.02 eV/atom
energy = -0.1718 Ha/atom

Lattice parameters (Å, degrees): 5.1043 5.1043 25.4626 90.00 90.00 90.00
Closest atoms and distances in Å follow each position.
Space group P4/mmm (No. 123)
Asymmetric unit:
Tb 0.0000 0.0000 0.0000 (multiplicity 1)  12 Sm 3.61
Sm 0.0000 0.5000 0.1002 (multiplicity 4)  2 Dy 3.60, 8 Sm 3.61, 2 Tb 3.61
Sm 0.0000 0.5000 0.3001 (multiplicity 4)  8 Sm 3.60-3.61, 4 Dy 3.60
Sm 0.0000 0.5000 0.5000 (multiplicity 2)  8 Sm 3.60-3.61, 4 Dy 3.60
Sm 0.5000 0.5000 0.0000 (multiplicity 1)  8 Sm 3.61, 4 Tb 3.61
Sm 0.5000 0.5000 0.2002 (multiplicity 2)  8 Sm 3.60-3.61, 4 Dy 3.61
Sm 0.5000 0.5000 0.4000 (multiplicity 2)  8 Sm 3.60, 4 Dy 3.61
Dy 0.0000 0.0000 0.2002 (multiplicity 2)  12 Sm 3.60-3.61
Dy 0.0000 0.0000 0.4000 (multiplicity 2)  12 Sm 3.60-3.61



Entry 2:
Computed, not measured: a relaxed LiRu3 crystal at the GGA-PBE level of DFT.

Computed properties:
formation energy = 0.31 eV/atom
energy = -0.2619 Ha/atom

Lattice parameters (Å, degrees): 5.1284 7.9671 2.6652 90.00 90.00 90.00
Closest atoms and distances in Å follow each position.
Space group Cmmm (No. 65)
Asymmetric unit:
Li 0.0000 0.0000 0.0000 (multiplicity 2)  10 Ru 2.56-2.72, 2 Li 2.67
Ru 0.0000 0.5000 0.0000 (multiplicity 2)  2 Li 2.56, 10 Ru 2.67-2.72
Ru 0.2500 0.2500 0.5000 (multiplicity 4)  8 Ru 2.56-2.72, 4 Li 2.72



Repeat the second record exactly.
Computed, not measured: a relaxed LiRu3 crystal at the GGA-PBE level of DFT.

Computed properties:
formation energy = 0.31 eV/atom
energy = -0.2619 Ha/atom

Lattice parameters (Å, degrees): 5.1284 7.9671 2.6652 90.00 90.00 90.00
Closest atoms and distances in Å follow each position.
Space group Cmmm (No. 65)
Asymmetric unit:
Li 0.0000 0.0000 0.0000 (multiplicity 2)  10 Ru 2.56-2.72, 2 Li 2.67
Ru 0.0000 0.5000 0.0000 (multiplicity 2)  2 Li 2.56, 10 Ru 2.67-2.72
Ru 0.2500 0.2500 0.5000 (multiplicity 4)  8 Ru 2.56-2.72, 4 Li 2.72



Question: Which of these has the highest energy?
Answer: TbSm15Dy4